1.
Entry from the Alexandria database: a geometry-optimized AlGeIr2 structure (PBE-GGA).

POSCAR file:
```
AlGeIr2
1.0
-2.7531 2.7531 5.6350
2.7531 -2.7531 5.6350
2.7531 2.7531 -5.6350
Al Ge Ir
2 2 4
Direct
0.0000 0.0000 0.0000
0.7500 0.2500 0.5000
0.2500 0.7500 0.5000
0.5000 0.5000 0.0000
0.1296 0.6250 0.0046
0.3750 0.3796 0.5046
0.6204 0.1250 0.9954
0.8750 0.8704 0.4954
```

The energy of formation is 0.264 eV/atom. The volume comes out at 21.4 Å³/atom.

2.
Entry from the Alexandria database: a geometry-optimized Ca2SmPuN4 structure (PBE-GGA).

POSCAR file:
```
Ca2SmPuN4
1.0
6.0486 0.0000 0.0000
0.0000 3.5370 0.0000
-1.9875 0.0000 5.7328
Ca Sm Pu N
2 1 1 4
Direct
0.0000 0.0000 0.0000
0.0000 0.5000 0.5000
0.5000 0.0000 0.5000
0.5000 0.5000 0.0000
0.2751 0.0000 0.7698
0.2858 0.5000 0.2270
0.7142 0.5000 0.7730
0.7249 0.0000 0.2302
```

The volume comes out at 15.3 Å³/atom. The value obtained for the uncorrected formation energy is -1.1978 eV per atom.

3.
Entry from the Alexandria database: a geometry-optimized Al2InGe structure (PBE-GGA).

POSCAR file:
```
Al2InGe
1.0
1.9088 1.1020 6.8787
-1.9088 1.1020 6.8787
0.0000 -2.2041 6.8787
Al In Ge
2 1 1
Direct
0.2342 0.2342 0.2342
0.7658 0.7658 0.7658
0.0000 0.0000 0.0000
0.5000 0.5000 0.5000
```

The energy of formation is 0.171 eV/atom. The volume comes out at 21.7 Å³/atom.

4.
Entry from the Alexandria database: a geometry-optimized TaTi2Ni6 structure (PBE-GGA).

POSCAR file:
```
TaTi2Ni6
1.0
5.0017 0.0000 0.0000
-2.5009 4.3316 0.0000
0.0000 0.0000 5.5644
Ta Ti Ni
1 2 6
Direct
0.0000 0.0000 0.0000
0.3333 0.6667 0.8596
0.6667 0.3333 0.1404
0.1761 0.3521 0.3305
0.1761 0.8240 0.3305
0.3521 0.1761 0.6695
0.6479 0.8240 0.3305
0.8240 0.1761 0.6695
0.8240 0.6479 0.6695
```

The energy of formation is -0.183 eV/atom. The volume comes out at 13.4 Å³/atom.

5.
Entry from the Alexandria database: a geometry-optimized AcLa4PrEr2 structure (PBE-GGA).

POSCAR file:
```
AcLa4PrEr2
1.0
5.8608 -2.6253 0.0000
5.8608 2.6253 0.0000
-4.7657 0.0000 9.4060
Ac La Pr Er
1 4 1 2
Direct
0.0000 0.0000 0.0000
0.2475 0.2475 0.8713
0.2508 0.2508 0.3767
0.7492 0.7492 0.6233
0.7525 0.7525 0.1287
0.0000 0.0000 0.5000
0.4996 0.4996 0.2540
0.5004 0.5004 0.7460
```

The energy of formation is 0.030 eV/atom. The volume comes out at 36.2 Å³/atom.

6.
Entry from the Alexandria database: a geometry-optimized Ca5Th3Tl12 structure (PBE-GGA).

POSCAR file:
```
Ca5Th3Tl12
1.0
-9.1805 9.1805 9.1805
9.1805 -9.1805 9.1805
9.1805 9.1805 -9.1805
Ca Th Tl
20 12 48
Direct
0.0000 0.0000 0.0000
0.0000 0.0000 0.5000
0.0000 0.5000 0.0000
0.0000 0.5000 0.5000
0.1250 0.7500 0.8750
0.1250 0.8750 0.2500
0.2500 0.1250 0.8750
0.2500 0.6250 0.3750
0.3750 0.2500 0.6250
0.3750 0.6250 0.7500
0.5000 0.0000 0.0000
0.5000 0.0000 0.5000
0.5000 0.5000 0.0000
0.5000 0.5000 0.5000
0.6250 0.3750 0.2500
0.6250 0.7500 0.3750
0.7500 0.3750 0.6250
0.7500 0.8750 0.1250
0.8750 0.1250 0.7500
0.8750 0.2500 0.1250
0.1250 0.2500 0.3750
0.1250 0.3750 0.7500
0.2500 0.3750 0.1250
0.2500 0.8750 0.6250
0.3750 0.1250 0.2500
0.3750 0.7500 0.1250
0.6250 0.2500 0.8750
0.6250 0.8750 0.7500
0.7500 0.1250 0.3750
0.7500 0.6250 0.8750
0.8750 0.6250 0.2500
0.8750 0.7500 0.6250
0.0717 0.2255 0.1470
0.0717 0.3462 0.9247
0.0753 0.6470 0.4215
0.0753 0.9283 0.6538
0.0785 0.7255 0.6538
0.0785 0.8530 0.4247
0.1470 0.0717 0.2255
0.1470 0.5753 0.9215
0.1538 0.2255 0.5785
0.1538 0.4283 0.5753
0.2255 0.1470 0.0717
0.2255 0.5785 0.1538
0.2745 0.3462 0.9215
0.2745 0.4283 0.3530
0.3462 0.9215 0.2745
0.3462 0.9247 0.0717
0.3530 0.2745 0.4283
0.3530 0.5785 0.9247
0.4215 0.0753 0.6470
0.4215 0.8462 0.7745
0.4247 0.0785 0.8530
0.4247 0.8462 0.5717
0.4283 0.3530 0.2745
0.4283 0.5753 0.1538
0.5717 0.4247 0.8462
0.5717 0.6470 0.7255
0.5753 0.1538 0.4283
0.5753 0.9215 0.1470
0.5785 0.1538 0.2255
0.5785 0.9247 0.3530
0.6470 0.4215 0.0753
0.6470 0.7255 0.5717
0.6538 0.0753 0.9283
0.6538 0.0785 0.7255
0.7255 0.5717 0.6470
0.7255 0.6538 0.0785
0.7745 0.4215 0.8462
0.7745 0.8530 0.9283
0.8462 0.5717 0.4247
0.8462 0.7745 0.4215
0.8530 0.4247 0.0785
0.8530 0.9283 0.7745
0.9215 0.1470 0.5753
0.9215 0.2745 0.3462
0.9247 0.0717 0.3462
0.9247 0.3530 0.5785
0.9283 0.6538 0.0753
0.9283 0.7745 0.8530
```

The energy of formation is 0.170 eV/atom. The volume comes out at 38.7 Å³/atom.

Calculated total energy across the listed records, respectively: -6.256, -8.242, -3.539, -7.109, -4.686, -2.863 eV per atom.